No. 1
# KHfS3 SCAN PBEsol geometry
# Formation energy (no corrections) in meV/atom: -1393
# DFT total energy in eV for the cell shown: -106.85
# Theoretical density in g/cm³: 4.307
data_KHfS3
_chemical_formula_sum 'K1 Hf1 S3'
_cell_length_a 4.9460
_cell_length_b 4.9460
_cell_length_c 4.9460
_cell_angle_alpha 90.00
_cell_angle_beta 90.00
_cell_angle_gamma 90.00
_space_group_name_H-M_alt 'P m -3 m'
_space_group_IT_number 221
_space_group_name_Hall '-P 4 2 3'
loop_
_atom_site_label
_atom_site_type_symbol
_atom_site_fract_x
_atom_site_fract_y
_atom_site_fract_z
K1 K 0.0000 0.0000 0.0000
Hf1 Hf 0.5000 0.5000 0.5000
S1 S 0.0000 0.5000 0.5000

***

No. 2
# KHfSb2 SCAN PBEsol geometry
# Formation energy (no corrections) in meV/atom: -14
# DFT total energy in eV for the cell shown: -582.32
# Theoretical density in g/cm³: 7.564
data_KHfSb2
_chemical_formula_sum 'K4 Hf4 Sb8'
_cell_length_a 7.3983
_cell_length_b 7.3983
_cell_length_c 7.3983
_cell_angle_alpha 90.00
_cell_angle_beta 90.00
_cell_angle_gamma 90.00
_space_group_name_H-M_alt 'F m -3 m'
_space_group_IT_number 225
_space_group_name_Hall '-F 4 2 3'
loop_
_atom_site_label
_atom_site_type_symbol
_atom_site_fract_x
_atom_site_fract_y
_atom_site_fract_z
K1 K 0.0000 0.0000 0.0000
Hf1 Hf 0.0000 0.0000 0.5000
Sb1 Sb 0.2500 0.2500 0.2500

***

No. 3
# KHf3Se SCAN PBEsol geometry
# Formation energy (no corrections) in meV/atom: 552
# DFT total energy in eV for the cell shown: -213.67
# Theoretical density in g/cm³: 8.416
data_KHf3Se
_chemical_formula_sum 'K1 Hf3 Se1'
_cell_length_a 5.0520
_cell_length_b 5.0520
_cell_length_c 5.0520
_cell_angle_alpha 90.00
_cell_angle_beta 90.00
_cell_angle_gamma 90.00
_space_group_name_H-M_alt 'P m -3 m'
_space_group_IT_number 221
_space_group_name_Hall '-P 4 2 3'
loop_
_atom_site_label
_atom_site_type_symbol
_atom_site_fract_x
_atom_site_fract_y
_atom_site_fract_z
K1 K 0.0000 0.0000 0.0000
Hf1 Hf 0.0000 0.5000 0.5000
Se1 Se 0.5000 0.5000 0.5000

***

No. 4
# K2HfSnSe SCAN PBEsol geometry
# Formation energy (no corrections) in meV/atom: 972
# DFT total energy in eV for the cell shown: -130.47
# Theoretical density in g/cm³: 3.393
data_K2HfSnSe
_chemical_formula_sum 'K2 Hf1 Sn1 Se1'
_cell_length_a 6.5314
_cell_length_b 6.5314
_cell_length_c 5.2120
_cell_angle_alpha 90.00
_cell_angle_beta 90.00
_cell_angle_gamma 90.00
_space_group_name_H-M_alt 'P 4/m m m'
_space_group_IT_number 123
_space_group_name_Hall '-P 4 2'
loop_
_atom_site_label
_atom_site_type_symbol
_atom_site_fract_x
_atom_site_fract_y
_atom_site_fract_z
K1 K 0.0000 0.5000 0.0000
Hf1 Hf 0.0000 0.0000 0.5000
Sn1 Sn 0.5000 0.5000 0.0000
Se1 Se 0.5000 0.5000 0.5000

***

No. 5
# KHfSi2 SCAN PBEsol geometry
# Formation energy (no corrections) in meV/atom: 565
# DFT total energy in eV for the cell shown: -355.10
# Theoretical density in g/cm³: 5.696
data_KHfSi2
_chemical_formula_sum 'K4 Hf4 Si8'
_cell_length_a 6.8345
_cell_length_b 6.8345
_cell_length_c 6.8345
_cell_angle_alpha 90.00
_cell_angle_beta 90.00
_cell_angle_gamma 90.00
_space_group_name_H-M_alt 'F m -3 m'
_space_group_IT_number 225
_space_group_name_Hall '-F 4 2 3'
loop_
_atom_site_label
_atom_site_type_symbol
_atom_site_fract_x
_atom_site_fract_y
_atom_site_fract_z
K1 K 0.0000 0.0000 0.0000
Hf1 Hf 0.0000 0.0000 0.5000
Si1 Si 0.2500 0.2500 0.2500

***

No. 6
# K2HfSiSn SCAN PBEsol geometry
# Formation energy (no corrections) in meV/atom: 1283
# DFT total energy in eV for the cell shown: -118.85
# Theoretical density in g/cm³: 3.249
data_K2HfSiSn
_chemical_formula_sum 'K2 Hf1 Si1 Sn1'
_cell_length_a 6.4060
_cell_length_b 6.4060
_cell_length_c 5.0256
_cell_angle_alpha 90.00
_cell_angle_beta 90.00
_cell_angle_gamma 90.00
_space_group_name_H-M_alt 'P 4/m m m'
_space_group_IT_number 123
_space_group_name_Hall '-P 4 2'
loop_
_atom_site_label
_atom_site_type_symbol
_atom_site_fract_x
_atom_site_fract_y
_atom_site_fract_z
K1 K 0.0000 0.5000 0.0000
Hf1 Hf 0.0000 0.0000 0.5000
Si1 Si 0.5000 0.5000 0.5000
Sn1 Sn 0.5000 0.5000 0.0000

***

No. 7
# KHfTa2Sn SCAN PBEsol geometry
# DFT total energy in eV for the cell shown: -230.68
# ΔH_f (0 K) in eV/atom: 1.88
# Theoretical density in g/cm³: 8.168
data_KHfTa2Sn
_chemical_formula_sum 'K1 Hf1 Ta2 Sn1'
_cell_length_a 5.1566
_cell_length_b 5.1566
_cell_length_c 5.3383
_cell_angle_alpha 90.00
_cell_angle_beta 90.00
_cell_angle_gamma 90.00
_space_group_name_H-M_alt 'P 4/m m m'
_space_group_IT_number 123
_space_group_name_Hall '-P 4 2'
loop_
_atom_site_label
_atom_site_type_symbol
_atom_site_fract_x
_atom_site_fract_y
_atom_site_fract_z
K1 K 0.0000 0.0000 0.0000
Hf1 Hf 0.5000 0.5000 0.0000
Ta1 Ta 0.0000 0.5000 0.5000
Sn1 Sn 0.5000 0.5000 0.5000

***

No. 8
# KHfTe2 SCAN PBEsol geometry
# Formation energy (no corrections) in meV/atom: -371
# DFT total energy in eV for the cell shown: -587.95
# Theoretical density in g/cm³: 7.627
data_KHfTe2
_chemical_formula_sum 'K4 Hf4 Te8'
_cell_length_a 7.4394
_cell_length_b 7.4394
_cell_length_c 7.4394
_cell_angle_alpha 90.00
_cell_angle_beta 90.00
_cell_angle_gamma 90.00
_space_group_name_H-M_alt 'F m -3 m'
_space_group_IT_number 225
_space_group_name_Hall '-F 4 2 3'
loop_
_atom_site_label
_atom_site_type_symbol
_atom_site_fract_x
_atom_site_fract_y
_atom_site_fract_z
K1 K 0.0000 0.0000 0.0000
Hf1 Hf 0.0000 0.0000 0.5000
Te1 Te 0.2500 0.2500 0.2500